Entry 1:
# MnIn2Hg

Crystalline MnIn2Hg at its relaxed geometry (PBE, the Alexandria database).

Summary:
Formation energy from the elements, eV per atom: 0.142

Structure (POSCAR):
```
MnIn2Hg
1.0
-1.327 2.359 1.649
-2.116 -1.997 1.154
1.679 -5.290 8.919
In Mn Hg
2 1 1
direct
0.000 0.394 0.454 In
0.000 0.106 0.046 In
0.500 0.250 0.250 Mn
0.500 0.750 0.750 Hg
```

Entry 2:
# HBr

Crystalline HBr at its relaxed geometry (PBE, the Alexandria database).

Structure (POSCAR):
```
HBr
1.0
3.388 0.000 0.000
-1.694 2.934 0.000
0.000 0.000 7.959
Br H
2 2
direct
0.667 0.333 0.250 Br
0.333 0.667 0.750 Br
0.333 0.667 0.250 H
0.667 0.333 0.750 H
```

Entry 3:
# CsTm2Cu3Se5

Crystalline CsTm2Cu3Se5 at its relaxed geometry (PBE, the Alexandria database).

Summary:
Uncorrected formation energy, eV/atom: -1.1107

Structure (POSCAR):
```
CsTm2Cu3Se5
1.0
-4.768 -5.920 0.670
6.709 3.198 1.730
-7.069 7.274 13.964
Tm Cu Se Cs
4 6 10 2
direct
0.808 0.192 0.592 Tm
0.808 0.192 0.908 Tm
0.192 0.808 0.408 Tm
0.192 0.808 0.092 Tm
0.584 0.416 0.968 Cu
0.343 0.657 0.750 Cu
0.584 0.416 0.532 Cu
0.416 0.584 0.468 Cu
0.416 0.584 0.032 Cu
0.657 0.343 0.250 Cu
0.170 0.830 0.570 Se
0.761 0.239 0.750 Se
0.830 0.170 0.070 Se
0.170 0.830 0.930 Se
0.239 0.761 0.250 Se
0.438 0.562 0.888 Se
0.830 0.170 0.430 Se
0.438 0.562 0.612 Se
0.562 0.438 0.388 Se
0.562 0.438 0.112 Se
0.061 0.939 0.750 Cs
0.939 0.061 0.250 Cs
```

Entry 4:
# YBe4Fe

Crystalline YBe4Fe at its relaxed geometry (PBE, the Alexandria database).

Summary:
Formation energy from the elements, eV per atom: -0.001

Structure (POSCAR):
```
YBe4Fe
1.0
0.000 3.267 3.267
3.267 0.000 3.267
3.267 3.267 0.000
Fe Be Y
1 4 1
direct
0.750 0.750 0.750 Fe
0.379 0.864 0.379 Be
0.864 0.379 0.379 Be
0.379 0.379 0.379 Be
0.379 0.379 0.864 Be
0.000 0.000 0.000 Y
```

Entry 5:
# KTi

Crystalline KTi at its relaxed geometry (PBE, the Alexandria database).

Summary:
Formation energy from the elements, eV per atom: 1.463

Structure (POSCAR):
```
KTi
1.0
-5.143 0.230 4.872
-4.835 -1.173 -5.049
0.647 -7.041 1.016
Ti K
4 4
direct
0.398 0.398 0.000 Ti
0.602 0.602 0.000 Ti
0.102 0.898 0.500 Ti
0.898 0.102 0.500 Ti
0.336 0.336 0.500 K
0.836 0.164 0.000 K
0.664 0.664 0.500 K
0.164 0.836 0.000 K
```

Entry 6:
# SrAlZnGa2

Crystalline SrAlZnGa2 at its relaxed geometry (PBE, the Alexandria database).

Summary:
Formation energy from the elements, eV per atom: -0.385

Structure (POSCAR):
```
SrAlZnGa2
1.0
4.326 0.000 0.000
0.000 4.326 0.000
-2.163 -2.163 5.595
Ga Zn Al Sr
2 1 1 1
direct
0.615 0.615 0.229 Ga
0.385 0.385 0.771 Ga
0.250 0.750 0.500 Zn
0.750 0.250 0.500 Al
0.000 0.000 0.000 Sr
```

Summary of raw total energy in eV/atom
-3.5950; -2.3268; -4.7023; -4.9730; -3.0336; -2.9351
(order as listed above)